Entry 1:
## Co2HgPb (PBE-GGA)

Data for Co2HgPb after structural relaxation.

## Properties
* crystal system: monoclinic
* excess energy over the best structure of this formula in the dataset: 132 meV per atom
* formation enthalpy at 0 K: 0.485 eV/atom
* Fermi-level density of states: 1.248 states/eV per atom
* total magnetization: 0.751 μB/atom

a b c (Å): 12.0394 3.0105 4.4395
angles (deg): 90.00 111.21 90.00
With the nearest neighbours (Å) after each atom.
Space group Cm (No. 8)
Inequivalent atoms, fractional coordinates:
Co: 0.0000 0.0000 0.0000 (multiplicity 2)  2 Co 2.34
Co: 0.1595 0.5000 0.1604 (multiplicity 2)  2 Co 2.34
Hg: 0.4870 0.0000 0.4870 (multiplicity 2)  6 Co 2.69-2.96
Pb: 0.2657 0.0000 0.7662 (multiplicity 2)  6 Co 2.93-3.03, 2 Pb 3.01

---

Entry 2:
## Ti2In2Bi (PBE-GGA)

Data for Ti2In2Bi after structural relaxation.

## Properties
* crystal system: tetragonal
* excess energy over the best structure of this formula in the dataset: 224 meV per atom
* formation enthalpy at 0 K: 0.179 eV/atom
* Fermi-level density of states: 1.471 states/eV per atom
* total magnetization: 0.479 μB/atom

a b c (Å): 8.4111 8.4111 3.2386
angles (deg): 90.00 90.00 90.00
With the nearest neighbours (Å) after each atom.
Space group P4/mbm (No. 127)
Inequivalent atoms, fractional coordinates:
Ti: 0.1746 0.3254 0.0000 (multiplicity 4)  6 In 2.90-3.02, 2 Ti 3.24
In: 0.1235 0.6235 0.5000 (multiplicity 4)  6 Ti 2.90-3.02, 3 In 2.94-3.24
Bi: 0.0000 0.0000 0.5000 (multiplicity 2)  2 Bi 3.24, 4 In 3.33, 8 Ti 3.50

---

Entry 3:
## LaAgSn (PBE-GGA)

Data for LaAgSn after structural relaxation.

## Properties
* crystal system: triclinic
* formation enthalpy at 0 K: -0.490 eV/atom
* Fermi-level density of states: 0.705 states/eV per atom
* total magnetization: 0.000 μB/atom

a b c (Å): 4.6607 5.8771 6.4179
angles (deg): 89.98 89.88 66.68
With the nearest neighbours (Å) after each atom.
Space group P1 (No. 1)
Inequivalent atoms, fractional coordinates:
La: 0.0000 0.0000 0.0000 (multiplicity 1)  5 Sn 3.22-3.47, 2 Ag 3.26-3.44
La: 0.3857 0.2283 0.5507 (multiplicity 1)  5 Ag 3.22-3.52, 5 Sn 3.26-3.49
Ag: 0.0887 0.8227 0.4847 (multiplicity 1)  2 Ag 2.94, 2 Sn 3.08, 4 La 3.22-3.26
Ag: 0.7021 0.5962 0.2809 (multiplicity 1)  3 Sn 2.89-3.03, 2 Ag 2.94
Sn: 0.2961 0.4086 0.0653 (multiplicity 1)  2 Ag 2.89, 3 La 3.22-3.24
Sn: 0.6860 0.6271 0.7524 (multiplicity 1)  3 Ag 3.03-3.08, 2 Sn 3.29-3.30

---

Entry 4:
## TiSb2SeI (PBE-GGA)

Data for TiSb2SeI after structural relaxation.

## Properties
* crystal system: tetragonal
* E_form (uncorrected): 0.833 eV per atom
* excess energy over the best structure of this formula in the dataset: 589 meV per atom
* Fermi-level density of states: 0.811 states/eV per atom
* total magnetization: 0.312 μB/atom

a b c (Å): 5.3671 5.3671 5.7290
angles (deg): 90.00 90.00 90.00
With the nearest neighbours (Å) after each atom.
Space group P4/mmm (No. 123)
Inequivalent atoms, fractional coordinates:
Ti: 0.0000 0.0000 0.0000 (multiplicity 1)  4 I 3.80, 8 Sb 3.93
Sb: 0.0000 0.5000 0.5000 (multiplicity 2)  2 Se 2.68
Se: 0.5000 0.5000 0.5000 (multiplicity 1)  4 Sb 2.68, 2 I 2.86
I: 0.5000 0.5000 0.0000 (multiplicity 1)  2 Se 2.86

---

Entry 5:
## Tm4TlRh2 (PBE-GGA)

Data for Tm4TlRh2 after structural relaxation.

## Properties
* crystal system: trigonal
* formation enthalpy at 0 K: -0.572 eV/atom
* Fermi-level density of states: 0.466 states/eV per atom
* total magnetization: 0.000 μB/atom

a b c (Å): 4.2517 4.2517 35.1080
angles (deg): 90.00 90.00 120.00
With the nearest neighbours (Å) after each atom.
Space group R-3m (No. 166, hexagonal axes)
Inequivalent atoms, fractional coordinates:
Tm: 0.0000 0.0000 0.1048 (multiplicity 6)  3 Rh 2.81
Tm: 0.0000 0.0000 0.3004 (multiplicity 6)  3 Rh 2.71
Tl: 0.0000 0.0000 0.5000 (multiplicity 3)  6 Tm 3.28, 2 Rh 3.55
Rh: 0.0000 0.0000 0.3989 (multiplicity 6)  6 Tm 2.71-2.81

---

Entry 6:
## Cd3InAg3 (PBE-GGA)

Data for Cd3InAg3 after structural relaxation.

## Properties
* crystal system: trigonal
* excess energy over the best structure of this formula in the dataset: 33 meV per atom
* formation enthalpy at 0 K: 0.021 eV/atom
* Fermi-level density of states: 0.378 states/eV per atom
* total magnetization: 0.000 μB/atom

a b c (Å): 9.5190 9.5190 5.8415
angles (deg): 90.00 90.00 120.00
With the nearest neighbours (Å) after each atom.
Space group R3m (No. 160, hexagonal axes)
Inequivalent atoms, fractional coordinates:
Cd: 0.0001 0.5001 0.0000 (multiplicity 9)  6 Ag 2.91-2.92
In: 0.0000 0.0000 0.9989 (multiplicity 3)  6 Ag 2.91-2.92
Ag: 0.9999 0.5000 0.5001 (multiplicity 9)  2 In 2.91-2.92, 6 Cd 2.91-2.92